First-principles (PBE-GGA) data for a relaxed Mg2BeSi crystal, as listed in Alexandria.

Computed properties:
* distance to the lowest polymorph of the same formula: 226 meV/atom
* spin magnetization: 0.000 μB per atom
* crystal system: orthorhombic
* raw total energy: -2.8395 eV/atom
* N(E_F): 1.4 states/eV/f.u.
* raw formation energy: 0.25 eV per atom
* SG: No. 65

a = 4.9226 Å, b = 4.9226 Å, c = 2.7857 Å
α = 90.00°, β = 90.00°, γ = 107.73°
Positions (direct):
Mg (0.0000, 0.5000, 0.0000)
Mg (0.5000, 0.0000, 0.0000)
Be (0.0000, 0.0000, 0.5000)
Si (0.5000, 0.5000, 0.5000)